## KCuCN (PBE)

Data for KCuCN after structural relaxation.

Output
- N(E_F) (states/eV per atom) = 0.3654
- M_tot (μB per atom) = 0.00
- formation energy from raw total energies (eV/atom) = 0.16
- energy relative to the lowest polymorph listed for this composition (eV per atom) = 0.1078

Lattice parameters (Å, degrees): 4.7773 4.6511 4.6511 40.42 90.00 90.00
With the nearest neighbours (Å) after each atom.
Fractional positions:
K1 0.0000 0.0000 0.0000  4 N 2.88, 4 C 3.13, 2 K 3.21
Cu1 0.5000 0.2800 0.2800  1 N 1.90, 2 C 2.02
C1 0.5000 0.6393 0.6393  1 N 1.24
N1 0.5000 0.4976 0.4976  1 C 1.24

=====

## AlFe2W (PBE)

Data for AlFe2W after structural relaxation.

Output
- N(E_F) (states/eV per atom) = 0.9291
- M_tot (μB per atom) = 0.78
- formation enthalpy at 0 K (eV per atom) = 0.145

Lattice parameters (Å, degrees): 8.5243 8.5243 8.5243 18.41 18.41 18.41
With the nearest neighbours (Å) after each atom.
Fractional positions:
Al1 0.0000 0.0000 0.0000  3 Fe 2.56, 6 Al 2.73, 3 W 2.83
Fe1 0.4896 0.4896 0.4896  9 Fe 2.47-2.73, 3 W 2.62
Fe2 0.7471 0.7471 0.7471  9 Fe 2.47-2.73, 3 Al 2.56
W1 0.2397 0.2397 0.2397  3 Fe 2.62, 6 W 2.73, 3 Al 2.83

=====

## ErPuPt2 (PBE)

Data for ErPuPt2 after structural relaxation.

Output
- N(E_F) (states/eV per atom) = 3.5030
- M_tot (μB per atom) = 1.29
- formation enthalpy at 0 K (eV per atom) = -0.913

Lattice parameters (Å, degrees): 6.9411 6.9411 6.9411 34.28 34.28 34.28
With the nearest neighbours (Å) after each atom.
Fractional positions:
Er1 0.0000 0.0000 0.0000  6 Pt 2.88
Pu1 0.5000 0.5000 0.5000  6 Pt 2.87
Pt1 0.2495 0.2495 0.2495  3 Pu 2.87, 3 Er 2.88
Pt2 0.7505 0.7505 0.7505  3 Pu 2.87, 3 Er 2.88

=====

## RbLaC2Br (PBE)

Data for RbLaC2Br after structural relaxation.

Output
- N(E_F) (states/eV per atom) = 0.5697
- M_tot (μB per atom) = 0.26
- formation energy from raw total energies (eV/atom) = 2.05

Lattice parameters (Å, degrees): 5.0091 5.0091 5.2978 90.00 90.00 90.00
With the nearest neighbours (Å) after each atom.
Fractional positions:
Rb1 0.0000 0.0000 0.0000  4 La 3.54, 8 C 3.65
La1 0.5000 0.5000 0.0000  2 Br 2.65
C1 0.0000 0.5000 0.5000  2 Br 2.50
C2 0.5000 0.0000 0.5000  2 Br 2.50
Br1 0.5000 0.5000 0.5000  4 C 2.50, 2 La 2.65